VASP calculation (GGA-PBE) on a relaxed structure of Y3NbMo.

Geometry as CIF:
```
data_Y3NbMo
_chemical_formula_sum 'Y3 Nb1 Mo1'
_cell_length_a 5.288
_cell_length_b 5.288
_cell_length_c 5.288
_cell_angle_alpha 90.00
_cell_angle_beta 90.00
_cell_angle_gamma 90.00
_space_group_name_H-M_alt 'P m -3 m'
_space_group_IT_number 221
_space_group_name_Hall '-P 4 2 3'
loop_
_atom_site_label
_atom_site_type_symbol
_atom_site_fract_x
_atom_site_fract_y
_atom_site_fract_z
Y1 Y 0.000 0.000 0.500
Nb1 Nb 0.500 0.500 0.500
Mo1 Mo 0.000 0.000 0.000
```

Output
The calculation puts the magnetization at 0.650 μB per atom. Its formation energy is 941 meV/atom. The value obtained for the mass density is 5.12 g/cm3. For the energy above the most stable polymorph in this dataset, the calculation gives 0.000 eV per atom.